The following is a DFT calculation (GGA-PBE) of a geometry-optimized HoZnCdPd structure.

a b c (Å): 6.7903 6.7903 6.7903
angles (deg): 90.00 90.00 90.00
Space group F-43m (No. 216)
Inequivalent atoms, fractional coordinates:
Ho 0.0000 0.0000 0.0000
Zn 0.2500 0.2500 0.7500
Cd 0.0000 0.0000 0.5000
Pd 0.2500 0.2500 0.2500

**Volume**: 19.57 Å³ per atom
**Formation energy**: -0.493 eV per atom
**Crystal system**: cubic